Entry 1:
The following is a PBE-GGA calculation of MgPd3N6 after structural relaxation, from the Open Quantum Materials Database.

Output
Final energy   -5.543 eV/atom
Symmetry   No. 65

abc: 6.3556 6.3556 3.1046
angles: 90.00 90.00 113.96
Fractional coordinates of all 10 atoms:
Mg (0.0000, 0.0000, 0.0000)
Pd (0.0000, 0.5000, 0.5000)
Pd (0.5000, 0.0000, 0.5000)
Pd (0.5000, 0.5000, 0.0000)
N (0.1422, 0.8578, 0.5000)
N (0.1782, 0.4577, 0.0000)
N (0.4577, 0.1782, 0.0000)
N (0.5423, 0.8218, 0.0000)
N (0.8218, 0.5423, 0.0000)
N (0.8578, 0.1422, 0.5000)

---

Entry 2:
The following is a PBE-GGA calculation of YErCo2Pb after structural relaxation, from the Open Quantum Materials Database.

Output
Final energy   -6.135 eV/atom
Symmetry   No. 38

abc: 3.8407 3.8505 14.0956
angles: 90.00 90.00 90.00
Fractional coordinates of all 10 atoms:
Y (0.0000, 0.0000, 0.0000)
Y (0.0000, 0.5000, 0.5000)
Er (0.0000, 0.0000, 0.2804)
Er (0.0000, 0.5000, 0.7804)
Co (0.5000, 0.0000, 0.4309)
Co (0.5000, 0.0000, 0.8443)
Co (0.5000, 0.5000, 0.3443)
Co (0.5000, 0.5000, 0.9309)
Pb (0.5000, 0.0000, 0.6404)
Pb (0.5000, 0.5000, 0.1404)